(1)
The following is a PBE-GGA calculation of a geometry-optimized Cu2Ag3 structure, from OQMD via LeMat-Bulk.

Values from the calculation:
Calculated formation energy in meV/atom: 92

a b c (Å): 4.9149 4.9149 8.8224
angles (deg): 91.68 91.68 47.20
Fractional coordinates of all 10 atoms:
1 Cu 0.0500 0.0500 0.3548
2 Cu 0.2484 0.2484 0.7429
3 Cu 0.7516 0.7516 0.2571
4 Cu 0.9500 0.9500 0.6452
5 Ag 0.1536 0.1536 0.0586
6 Ag 0.3496 0.3496 0.4532
7 Ag 0.4548 0.4548 0.1616
8 Ag 0.5452 0.5452 0.8384
9 Ag 0.6504 0.6504 0.5468
10 Ag 0.8464 0.8464 0.9414



(2)
The following is a PBE-GGA calculation of a geometry-optimized DyLuPb4 structure, from OQMD via LeMat-Bulk.

Values from the calculation:
Calculated total energy in eV/cell: -22.5

a b c (Å): 3.2917 10.1017 10.1017
angles (deg): 36.32 90.00 90.00
Fractional coordinates of all 6 atoms:
1 Dy 0.0000 0.0000 0.0000
2 Lu 0.0000 0.1789 0.1789
3 Pb 0.0000 0.3454 0.3454
4 Pb 0.0000 0.5100 0.5100
5 Pb 0.0000 0.6772 0.6772
6 Pb 0.0000 0.8373 0.8373



(3)
The following is a PBE-GGA calculation of a geometry-optimized Lu4InFeC2 structure, from OQMD via LeMat-Bulk.

Values from the calculation:
Calculated total energy in eV/cell: -49.2

a b c (Å): 3.4772 3.4772 14.9364
angles (deg): 90.00 90.00 120.00
Fractional coordinates of all 8 atoms:
1 Lu 0.0000 0.0000 0.1429
2 Lu 0.0000 0.0000 0.8571
3 Lu 0.3333 0.6667 0.3189
4 Lu 0.3333 0.6667 0.6811
5 In 0.0000 0.0000 0.5000
6 Fe 0.3333 0.6667 0.0000
7 C 0.6667 0.3333 0.2328
8 C 0.6667 0.3333 0.7672



(4)
The following is a PBE-GGA calculation of a geometry-optimized LiAgNO structure, from OQMD via LeMat-Bulk.

Values from the calculation:
Calculated total energy in eV/cell: -33.8

a b c (Å): 4.3207 4.3207 4.3192
angles (deg): 90.00 90.00 90.00
Fractional coordinates of all 8 atoms:
1 Li 0.2500 0.2500 0.0029
2 Li 0.7500 0.7500 0.9971
3 Ag 0.2500 0.7500 0.5000
4 Ag 0.7500 0.2500 0.5000
5 N 0.2500 0.2500 0.5109
6 N 0.7500 0.7500 0.4891
7 O 0.2500 0.7500 0.0000
8 O 0.7500 0.2500 0.0000



(5)
The following is a PBE-GGA calculation of a geometry-optimized NdBTe structure, from OQMD via LeMat-Bulk.

Values from the calculation:
Calculated total energy in eV/cell: -14.0

a b c (Å): 4.6400 4.6400 4.6400
angles (deg): 60.00 60.00 60.00
Fractional coordinates of all 3 atoms:
1 Nd 0.0000 0.0000 0.0000
2 B 0.2500 0.2500 0.2500
3 Te 0.5000 0.5000 0.5000



(6)
The following is a PBE-GGA calculation of a geometry-optimized LuCo2Si structure, from OQMD via LeMat-Bulk.

Values from the calculation:
Calculated total energy in eV/cell: -24.0

a b c (Å): 4.3325 4.3325 4.3325
angles (deg): 60.00 60.00 60.00
Fractional coordinates of all 4 atoms:
1 Lu 0.0000 0.0000 0.0000
2 Co 0.2500 0.2500 0.2500
3 Co 0.5000 0.5000 0.5000
4 Si 0.7500 0.7500 0.7500



(7)
The following is a PBE-GGA calculation of a geometry-optimized GdNb2Sb3 structure, from OQMD via LeMat-Bulk.

Values from the calculation:
Calculated total energy in eV/cell: -39.7

a b c (Å): 4.7664 4.7664 7.2302
angles (deg): 90.00 90.00 120.00
Fractional coordinates of all 6 atoms:
1 Gd 0.0000 0.0000 0.0000
2 Nb 0.3333 0.6667 0.6086
3 Nb 0.6667 0.3333 0.3914
4 Sb 0.0000 0.0000 0.5000
5 Sb 0.3333 0.6667 0.2198
6 Sb 0.6667 0.3333 0.7802



(8)
The following is a PBE-GGA calculation of a geometry-optimized Gd3In4Pt2 structure, from OQMD via LeMat-Bulk.

Values from the calculation:
Calculated total energy in eV/cell: -44.5

a b c (Å): 7.8539 7.8539 3.9329
angles (deg): 90.00 90.00 120.00
Fractional coordinates of all 9 atoms:
1 Gd 0.0791 0.7189 0.0000
2 Gd 0.2811 0.3603 0.0000
3 Gd 0.6397 0.9209 0.0000
4 In 0.0000 0.0000 0.5000
5 In 0.4115 0.0788 0.5000
6 In 0.6673 0.5885 0.5000
7 In 0.9212 0.3327 0.5000
8 Pt 0.3333 0.6667 0.5000
9 Pt 0.6667 0.3333 0.0000



(9)
The following is a PBE-GGA calculation of a geometry-optimized LiLu2IrO6 structure, from OQMD via LeMat-Bulk.

Values from the calculation:
Calculated total energy in eV/cell: -146.7

a b c (Å): 5.1570 5.5884 8.9594
angles (deg): 90.00 123.62 90.00
Fractional coordinates of all 20 atoms:
1 Li 0.0000 0.0000 0.0000
2 Li 0.0000 0.5000 0.5000
3 Lu 0.2181 0.0848 0.7454
4 Lu 0.2181 0.4152 0.2454
5 Lu 0.7819 0.5848 0.7546
6 Lu 0.7819 0.9152 0.2546
7 Ir 0.5000 0.0000 0.5000
8 Ir 0.5000 0.5000 0.0000
9 O 0.1231 0.1854 0.4392
10 O 0.1231 0.3146 0.9392
11 O 0.2596 0.6995 0.4317
12 O 0.2596 0.8005 0.9317
13 O 0.3859 0.0494 0.2519
14 O 0.3859 0.4506 0.7519
15 O 0.6141 0.5494 0.2481
16 O 0.6141 0.9506 0.7481
17 O 0.7404 0.1995 0.0683
18 O 0.7404 0.3005 0.5683
19 O 0.8769 0.6854 0.0608
20 O 0.8769 0.8146 0.5608



(10)
The following is a PBE-GGA calculation of a geometry-optimized HgI structure, from OQMD via LeMat-Bulk.

Values from the calculation:
Calculated total energy in eV/cell: -1.8

a b c (Å): 5.0723 5.0723 5.0723
angles (deg): 60.00 60.00 60.00
Fractional coordinates of all 2 atoms:
1 Hg 0.0000 0.0000 0.0000
2 I 0.7500 0.7500 0.7500



(11)
The following is a PBE-GGA calculation of a geometry-optimized TlAu2 structure, from OQMD via LeMat-Bulk.

Values from the calculation:
Calculated total energy in eV/cell: -35.5

a b c (Å): 5.8573 4.3670 10.2493
angles (deg): 90.00 90.00 90.00
Fractional coordinates of all 12 atoms:
1 Tl 0.2238 0.2500 0.0479
2 Tl 0.2762 0.7500 0.5479
3 Tl 0.7238 0.2500 0.4521
4 Tl 0.7762 0.7500 0.9521
5 Au 0.0516 0.2500 0.7315
6 Au 0.2220 0.2500 0.3526
7 Au 0.2780 0.7500 0.8526
8 Au 0.4484 0.7500 0.2315
9 Au 0.5516 0.2500 0.7685
10 Au 0.7220 0.2500 0.1474
11 Au 0.7780 0.7500 0.6474
12 Au 0.9484 0.7500 0.2685



(12)
The following is a PBE-GGA calculation of a geometry-optimized CuAg3 structure, from OQMD via LeMat-Bulk.

Values from the calculation:
Calculated formation energy in meV/atom: 75

a b c (Å): 4.9230 5.7378 4.9421
angles (deg): 90.00 109.34 90.00
Fractional coordinates of all 8 atoms:
1 Cu 0.0000 0.1188 0.2500
2 Cu 0.0000 0.8812 0.7500
3 Ag 0.0000 0.3652 0.7500
4 Ag 0.0000 0.6348 0.2500
5 Ag 0.5000 0.1189 0.7500
6 Ag 0.5000 0.3707 0.2500
7 Ag 0.5000 0.6293 0.7500
8 Ag 0.5000 0.8811 0.2500